A relaxed structure of HfBi2BW. Source: Alexandria, functional PBE.

Output
The value obtained for the density of states at the Fermi level is 0.979 states/eV per atom. The space group is P4/mmm (123). As for the total magnetization: 1.8 μB/f.u. The value obtained for the formation energy from the elements is 2.18 eV per atom.

a b c (Å): 5.5720 5.5720 5.0257
angles (deg): 90.00 90.00 90.00
Closest atoms and distances in Å follow each position.
Positions (direct):
Hf1 0.0000 0.0000 0.0000  2 W 2.51, 4 Bi 2.79
Bi1 0.0000 0.5000 0.0000  2 Hf 2.79
Bi2 0.5000 0.0000 0.0000  2 Hf 2.79
B1 0.5000 0.5000 0.5000  8 Bi 3.75, 4 W 3.94
W1 0.0000 0.0000 0.5000  2 Hf 2.51